Computed, not measured: crystalline Hg8W at its relaxed geometry at the PBE level of DFT.

Values from the calculation:
**Theoretical density**: 14.3 g/cm3
**Magnetic moment**: 0.312 μB per atom
**SG**: I4/mmm, No. 139
**N(E_F)**: 4.72 states/eV/f.u.
**Energy of formation from the pure elements**: 0.529 eV/atom

Cell: 7.3207 7.3207 7.3207 Å, 94.77 94.77 146.47°
Closest atoms and distances in Å follow each position.
Sites, in units of the cell vectors:
1 Hg 0.0000 0.3279 0.3279  11 Hg 3.12-3.41, 1 W 3.25
2 Hg 0.0000 0.6721 0.6721  11 Hg 3.12-3.41, 1 W 3.25
3 Hg 0.3279 0.0000 0.3279  11 Hg 3.12-3.41, 1 W 3.25
4 Hg 0.3402 0.3402 0.6804  2 W 3.08, 10 Hg 3.12-3.37
5 Hg 0.3402 0.6598 0.0000  2 W 3.08, 10 Hg 3.12-3.37
6 Hg 0.6598 0.3402 0.0000  2 W 3.08, 10 Hg 3.12-3.37
7 Hg 0.6598 0.6598 0.3196  2 W 3.08, 10 Hg 3.12-3.37
8 Hg 0.6721 0.0000 0.6721  11 Hg 3.12-3.41, 1 W 3.25
9 W 0.0000 0.0000 0.0000  12 Hg 3.08-3.25